Compound: SrErW2O8
Source: Alexandria via LeMat-Bulk
Functional: PBE+U
Structure: relaxed

a = 5.993 Å, b = 5.993 Å, c = 7.060 Å
α = 90.00°, β = 90.00°, γ = 120.00°
Positions (direct):
Sr (0.000, 0.000, 0.000)
Er (0.000, 0.000, 0.500)
W (0.333, 0.667, 0.786)
W (0.667, 0.333, 0.214)
O (0.162, 0.324, 0.708)
O (0.162, 0.838, 0.708)
O (0.324, 0.162, 0.292)
O (0.333, 0.667, 0.041)
O (0.667, 0.333, 0.959)
O (0.676, 0.838, 0.708)
O (0.838, 0.162, 0.292)
O (0.838, 0.676, 0.292)

Properties
Size of the total moment ... 1.001 Bohr magnetons per cell
Energy ... -7.41 eV per atom